SrCa4Tl2 | PBE-GGA | optimized geometry

For the energy above the most stable polymorph in this dataset, the calculation gives 0.1164 eV/atom. As for the formation energy: -1.05 eV per formula unit. For the volume, the calculation gives 41.4 A^3/atom. The density is 3.76 g/cm³. The calculation puts the calculated total energy at -2.209 eV per atom.

Lattice parameters (Å, degrees): 5.5528 5.5528 32.5669 90.00 90.00 120.00
Space group R-3m (No. 166, hexagonal axes)
One atom of each set of equivalent atoms:
1 Sr 0.0000 0.0000 0.0000 [3 per cell]
2 Ca 0.0000 0.0000 0.2003 [6 per cell]
3 Ca 0.0000 0.0000 0.4144 [6 per cell]
4 Tl 0.0000 0.0000 0.1016 [6 per cell]

Ca2PuNiH8 | PBE-GGA | optimized geometry

For the volume, the calculation gives 10.6 A^3/atom. The density is 5.11 g/cm³. The calculation puts the calculated total energy at -4.548 eV per atom.

Lattice parameters (Å, degrees): 4.7636 4.7636 6.4637 90.00 90.00 120.00
Space group P-3m1 (No. 164)
One atom of each set of equivalent atoms:
1 Ca 0.3333 0.6667 0.3568 [2 per cell]
2 Pu 0.0000 0.0000 0.0000 [1 per cell]
3 Ni 0.0000 0.0000 0.5000 [1 per cell]
4 H 0.1554 0.3108 0.6641 [6 per cell]
5 H 0.3333 0.6667 0.0194 [2 per cell]

LaPm5Sm2Mg | PBE-GGA | optimized geometry

As for the formation energy: 0.81 eV per formula unit. For the volume, the calculation gives 34.1 A^3/atom. The density is 6.43 g/cm³. The calculation puts the calculated total energy at -4.322 eV per atom.

Lattice parameters (Å, degrees): 5.579 20.225 10.887 90.00 90.00 90.00
Space group Cmc2_1 (No. 36)
One atom of each set of equivalent atoms:
1 La 0.000 0.203 0.000 [4 per cell]
2 Pm 0.000 0.013 0.000 [4 per cell]
3 Pm 0.000 0.290 0.299 [4 per cell]
4 Pm 0.000 0.290 0.701 [4 per cell]
5 Pm 0.000 0.384 0.000 [4 per cell]
6 Pm 0.000 0.500 0.250 [4 per cell]
7 Sm 0.000 0.114 0.290 [4 per cell]
8 Sm 0.000 0.114 0.710 [4 per cell]
9 Mg 0.000 0.406 0.499 [4 per cell]

LiPmHf2N4 | PBE-GGA | optimized geometry

Its formation energy from raw total energies is -1.538 eV per atom. For the volume, the calculation gives 12.1 A^3/atom. The density is 9.71 g/cm³. The calculation puts the calculated total energy at -9.023 eV per atom.

Lattice parameters (Å, degrees): 3.273 10.723 11.013 90.00 90.00 90.00
Space group Cmcm (No. 63)
One atom of each set of equivalent atoms:
1 Li 0.000 0.159 0.250 [4 per cell]
2 Pm 0.000 0.106 0.750 [4 per cell]
3 Hf 0.000 0.366 0.558 [8 per cell]
4 N 0.000 0.000 0.000 [4 per cell]
5 N 0.000 0.262 0.110 [8 per cell]
6 N 0.000 0.440 0.750 [4 per cell]

DyBiPdRh | PBE-GGA | optimized geometry

As for the formation energy: -2.50 eV per formula unit. For the volume, the calculation gives 20.3 A^3/atom. The density is 11.90 g/cm³. The calculation puts the calculated total energy at -5.883 eV per atom.

Lattice parameters (Å, degrees): 6.870 6.870 6.870 90.00 90.00 90.00
Space group F-43m (No. 216)
One atom of each set of equivalent atoms:
1 Dy 0.000 0.000 0.000 [4 per cell]
2 Bi 0.000 0.000 0.500 [4 per cell]
3 Pd 0.250 0.250 0.250 [4 per cell]
4 Rh 0.250 0.250 0.750 [4 per cell]

MgAgRu | PBE-GGA | optimized geometry

For the energy above the most stable polymorph in this dataset, the calculation gives 0.1680 eV/atom. As for the formation energy: 0.75 eV per formula unit. For the volume, the calculation gives 16.4 A^3/atom. The density is 7.87 g/cm³. The calculation puts the calculated total energy at -4.325 eV per atom.

Lattice parameters (Å, degrees): 2.713 4.216 8.608 90.00 90.00 90.00
Space group Imm2 (No. 44)
One atom of each set of equivalent atoms:
1 Mg 0.000 0.000 0.000 [2 per cell]
2 Ag 0.000 0.000 0.329 [2 per cell]
3 Ru 0.000 0.000 0.662 [2 per cell]

SiNi2Os | PBE-GGA | optimized geometry

Its formation energy from raw total energies is -0.144 eV per atom. For the volume, the calculation gives 11.9 A^3/atom. The density is 11.74 g/cm³. The calculation puts the calculated total energy at -7.198 eV per atom.

Lattice parameters (Å, degrees): 2.905 2.905 5.628 90.00 90.00 90.00
Space group P4mm (No. 99)
One atom of each set of equivalent atoms:
1 Si 0.000 0.000 0.000 [1 per cell]
2 Ni 0.000 0.000 0.461 [1 per cell]
3 Ni 0.500 0.500 0.213 [1 per cell]
4 Os 0.500 0.500 0.737 [1 per cell]

FeSi2Ni8 | PBE-GGA | optimized geometry

Its formation energy from raw total energies is -0.305 eV per atom. For the volume, the calculation gives 11.3 A^3/atom. The density is 7.79 g/cm³. The calculation puts the calculated total energy at -6.265 eV per atom.

Lattice parameters (Å, degrees): 3.673 6.285 10.734 90.00 90.00 90.00
Space group Immm (No. 71)
One atom of each set of equivalent atoms:
1 Fe 0.000 0.000 0.000 [2 per cell]
2 Si 0.000 0.000 0.309 [4 per cell]
3 Ni 0.000 0.201 0.500 [4 per cell]
4 Ni 0.000 0.279 0.161 [8 per cell]
5 Ni 0.000 0.500 0.351 [4 per cell]

Ce2Tm5Sc4 | PBE-GGA | optimized geometry

As for the formation energy: 4.57 eV per formula unit. For the volume, the calculation gives 29.3 A^3/atom. The density is 6.73 g/cm³. The calculation puts the calculated total energy at -4.998 eV per atom.

Lattice parameters (Å, degrees): 3.317 7.145 27.183 90.00 90.00 90.00
Space group Immm (No. 71)
One atom of each set of equivalent atoms:
1 Ce 0.000 0.000 0.102 [4 per cell]
2 Tm 0.000 0.257 0.195 [8 per cell]
3 Tm 0.000 0.500 0.500 [2 per cell]
4 Sc 0.000 0.000 0.402 [4 per cell]
5 Sc 0.000 0.327 0.000 [4 per cell]

PmGdThCd | PBE-GGA | optimized geometry

As for the formation energy: 0.20 eV per formula unit. For the volume, the calculation gives 30.0 A^3/atom. The density is 8.94 g/cm³. The calculation puts the calculated total energy at -6.741 eV per atom.

Lattice parameters (Å, degrees): 7.832 7.832 7.832 90.00 90.00 90.00
Space group F-43m (No. 216)
One atom of each set of equivalent atoms:
1 Pm 0.000 0.000 0.000 [4 per cell]
2 Gd 0.250 0.250 0.750 [4 per cell]
3 Th 0.250 0.250 0.250 [4 per cell]
4 Cd 0.000 0.000 0.500 [4 per cell]

In2CoGeSe | PBE-GGA | optimized geometry

Its formation energy from raw total energies is 0.448 eV per atom. For the volume, the calculation gives 25.6 A^3/atom. The density is 5.70 g/cm³. The calculation puts the calculated total energy at -3.689 eV per atom.

Lattice parameters (Å, degrees): 5.344 5.344 4.488 90.00 90.00 90.00
Space group P4/mmm (No. 123)
One atom of each set of equivalent atoms:
1 In 0.000 0.500 0.000 [2 per cell]
2 Co 0.000 0.000 0.500 [1 per cell]
3 Ge 0.000 0.000 0.000 [1 per cell]
4 Se 0.500 0.500 0.500 [1 per cell]

ZnCuF6 | PBE-GGA | optimized geometry

Its formation energy from raw total energies is -1.518 eV per atom. For the volume, the calculation gives 11.9 A^3/atom. The density is 4.25 g/cm³. The calculation puts the calculated total energy at -3.593 eV per atom.

Lattice parameters (Å, degrees): 4.9021 4.9021 9.1285 90.00 90.00 120.00
Space group P-31c (No. 163)
One atom of each set of equivalent atoms:
1 Zn 0.3333 0.6667 0.2500 [2 per cell]
2 Cu 0.0000 0.0000 0.0000 [2 per cell]
3 F 0.0220 0.3224 0.1191 [12 per cell]

Sm5YEr2 | PBE-GGA | optimized geometry

As for the formation energy: 0.14 eV per formula unit. For the volume, the calculation gives 32.7 A^3/atom. The density is 7.45 g/cm³. The calculation puts the calculated total energy at -4.881 eV per atom.

Lattice parameters (Å, degrees): 7.185 14.372 5.073 90.00 90.00 90.00
Space group Pbam (No. 55)
One atom of each set of equivalent atoms:
1 Sm 0.000 0.000 0.000 [2 per cell]
2 Sm 0.001 0.250 0.000 [4 per cell]
3 Sm 0.249 0.625 0.500 [4 per cell]
4 Y 0.000 0.500 0.000 [2 per cell]
5 Er 0.249 0.875 0.500 [4 per cell]

CeCuSn | PBE-GGA | optimized geometry

As for the formation energy: -0.61 eV per formula unit. For the volume, the calculation gives 22.2 A^3/atom. The density is 8.02 g/cm³. The calculation puts the calculated total energy at -4.883 eV per atom.

Lattice parameters (Å, degrees): 3.381 3.381 11.672 90.00 90.00 90.00
Space group I4mm (No. 107)
One atom of each set of equivalent atoms:
1 Ce 0.000 0.000 0.000 [2 per cell]
2 Cu 0.000 0.000 0.662 [2 per cell]
3 Sn 0.000 0.000 0.293 [2 per cell]

MnVPd3 | PBE-GGA | optimized geometry

For the energy above the most stable polymorph in this dataset, the calculation gives 0.9544 eV/atom. As for the formation energy: 3.67 eV per formula unit. For the volume, the calculation gives 19.6 A^3/atom. The density is 7.22 g/cm³. The calculation puts the calculated total energy at -6.038 eV per atom.

Lattice parameters (Å, degrees): 4.607 4.607 4.607 90.00 90.00 90.00
Space group Pm-3m (No. 221)
One atom of each set of equivalent atoms:
1 Mn 0.000 0.000 0.000 [1 per cell]
2 V 0.500 0.500 0.500 [1 per cell]
3 Pd 0.000 0.500 0.500 [3 per cell]

PmBe4Pt12 | PBE-GGA | optimized geometry

As for the formation energy: -4.57 eV per formula unit. For the volume, the calculation gives 15.6 A^3/atom. The density is 15.81 g/cm³. The calculation puts the calculated total energy at -5.689 eV per atom.

Lattice parameters (Å, degrees): 8.091 8.091 8.091 90.00 90.00 90.00
Space group Im-3 (No. 204)
One atom of each set of equivalent atoms:
1 Pm 0.000 0.000 0.000 [2 per cell]
2 Be 0.250 0.250 0.250 [8 per cell]
3 Pt 0.000 0.168 0.331 [24 per cell]

PrEu2Al | PBE-GGA | optimized geometry

For the energy above the most stable polymorph in this dataset, the calculation gives 0.0154 eV/atom. As for the formation energy: -0.25 eV per formula unit. For the volume, the calculation gives 32.5 A^3/atom. The density is 6.03 g/cm³. The calculation puts the calculated total energy at -7.329 eV per atom.

Lattice parameters (Å, degrees): 3.754 3.754 9.222 90.00 90.00 90.00
Space group P4/mmm (No. 123)
One atom of each set of equivalent atoms:
1 Pr 0.000 0.000 0.000 [1 per cell]
2 Eu 0.500 0.500 0.298 [2 per cell]
3 Al 0.000 0.000 0.500 [1 per cell]

CuSb2Pt | PBE-GGA | optimized geometry

Its formation energy from raw total energies is 0.008 eV per atom. For the volume, the calculation gives 22.6 A^3/atom. The density is 9.23 g/cm³. The calculation puts the calculated total energy at -4.587 eV per atom.

Lattice parameters (Å, degrees): 4.742 4.742 16.080 90.00 90.00 90.00
Space group I-42d (No. 122)
One atom of each set of equivalent atoms:
1 Cu 0.000 0.000 0.000 [4 per cell]
2 Sb 0.242 0.250 0.125 [8 per cell]
3 Pt 0.000 0.000 0.500 [4 per cell]

AcAg2SnAu4 | PBE-GGA | optimized geometry

As for the formation energy: -2.47 eV per formula unit. For the volume, the calculation gives 22.7 A^3/atom. The density is 12.36 g/cm³. The calculation puts the calculated total energy at -3.675 eV per atom.

Lattice parameters (Å, degrees): 4.7410 4.7410 27.9308 90.00 90.00 120.00
Space group R-3m (No. 166, hexagonal axes)
One atom of each set of equivalent atoms:
1 Ac 0.0000 0.0000 0.0000 [3 per cell]
2 Ag 0.0000 0.0000 0.2410 [6 per cell]
3 Sn 0.0000 0.0000 0.5000 [3 per cell]
4 Au 0.0000 0.0000 0.1243 [6 per cell]
5 Au 0.0000 0.0000 0.3950 [6 per cell]

Ca2BiPb2 | PBE-GGA | optimized geometry

For the energy above the most stable polymorph in this dataset, the calculation gives 0.4423 eV/atom. As for the formation energy: -0.05 eV per formula unit. For the volume, the calculation gives 35.9 A^3/atom. The density is 6.50 g/cm³. The calculation puts the calculated total energy at -3.071 eV per atom.

Lattice parameters (Å, degrees): 5.383 5.383 12.405 90.00 90.00 90.00
Space group I4/mmm (No. 139)
One atom of each set of equivalent atoms:
1 Ca 0.000 0.500 0.250 [4 per cell]
2 Bi 0.000 0.000 0.000 [2 per cell]
3 Pb 0.000 0.000 0.387 [4 per cell]